Mn2GaIrF | GGA+U | optimized geometry

Output
Size of the total moment   2.04 μB per atom
VASP energy   -5.799 eV/atom
Crystal system   tetragonal

Lattice parameters (Å, degrees): 5.068 5.068 4.750 90.00 90.00 90.00
Space group P4/mmm (No. 123)
Unique sites:
Mn (0.000, 0.500, 0.000) (multiplicity 2)
Ga (0.000, 0.000, 0.500) (multiplicity 1)
Ir (0.000, 0.000, 0.000) (multiplicity 1)
F (0.500, 0.500, 0.500) (multiplicity 1)